Record 1
Computed, not measured: a relaxed structure of TlCl at the PBEsol level of DFT.

Calculated values
uncorrected formation energy = -1.81 eV per formula unit

Cell: 4.3146 4.3146 7.7141 Å, 90.00 90.00 120.00°
Space group P6_3/mmc (No. 194)
Asymmetric unit:
1 Tl 0.0000 0.0000 0.0000 x2
2 Cl 0.3333 0.6667 0.2500 x2

Record 2
Computed, not measured: a relaxed structure of KBaFe4Se6 at the PBEsol level of DFT.

Calculated values
uncorrected formation energy = -7.96 eV per formula unit

Cell: 5.2926 8.8560 10.9319 Å, 90.00 90.00 90.00°
Space group Amm2 (No. 38)
Asymmetric unit:
1 K 0.0000 0.0000 0.0000 x2
2 Ba 0.5000 0.0000 0.6500 x2
3 Fe 0.2519 0.1441 0.3239 x8
4 Se 0.0000 0.0000 0.4450 x2
5 Se 0.0000 0.2073 0.7114 x4
6 Se 0.5000 0.0000 0.2008 x2
7 Se 0.5000 0.2060 0.9380 x4

no.,V (Å³ per atom),ρ (g cm⁻³)
1,31.091,6.40
2,21.350,5.66